(1)
The following is a DFT calculation (PBE) of a relaxed AlCo2Tc crystal.

Computed properties:
Its density of states at the Fermi level is 4.42 states/eV per cell.

Cell lengths 4.3607, 4.3607, 2.6612 Å; angles 90.00, 90.00, 104.71 degrees
Sites, in units of the cell vectors:
Al1 0.0000 0.0000 0.0000
Co1 0.0000 0.5000 0.5000
Co2 0.5000 0.0000 0.5000
Tc1 0.5000 0.5000 0.0000

(2)
The following is a DFT calculation (PBE) of a relaxed AlCo2Tc crystal.

Computed properties:
Its density of states at the Fermi level is 7.52 states/eV per cell.

Cell lengths 8.8162, 8.8162, 8.8162 Å; angles 156.66, 156.66, 33.24 degrees
Sites, in units of the cell vectors:
Al1 0.0000 0.0000 0.0000
Al2 0.7500 0.2500 0.5000
Co1 0.1108 0.6250 0.9858
Co2 0.3750 0.3608 0.4858
Co3 0.6392 0.1250 0.0142
Co4 0.8750 0.8892 0.5142
Tc1 0.2500 0.7500 0.5000
Tc2 0.5000 0.5000 0.0000

| no. | calculated formation energy (eV/atom) |
| --- | --- |
| 1 | -0.150 |
| 2 | 0.360 |